Density functional theory data (PBE) for crystalline Cu5Ge3O12 at its relaxed geometry.

Cell lengths 12.309, 12.309, 12.309 Å; angles 90.00, 90.00, 90.00 degrees
Space group Ia-3d (No. 230)
Unique sites:
Cu  0.000  0.000  0.000 x16
Cu  0.000  0.250  0.375 x24
Ge  0.000  0.250  0.125 x24
O  0.008  0.156  0.512 x96

Calculated values
- ΔE_f (raw) (meV/atom) = -766
- spin magnetization (μB per atom) = 0.057